Record 1
# NaSrZn2Co | Alexandria | PBE-GGA | relaxed
# - Formation enthalpy at 0 K: 5.12 eV/f.u.
# - M_tot: 1.45 μB per formula unit
# - Calculated volume: 33.22 Å³ per atom
# - Total DFT energy (no corrections): -1.51 eV per atom
data_NaSrZn2Co
_chemical_formula_sum 'Na1 Sr1 Zn2 Co1'
_cell_length_a 5.6640
_cell_length_b 5.6640
_cell_length_c 5.1770
_cell_angle_alpha 90.00
_cell_angle_beta 90.00
_cell_angle_gamma 90.00
_symmetry_space_group_name_H-M 'P 4/m m m'
_symmetry_Int_Tables_number 123
_symmetry_space_group_name_Hall '-P 4 2'
loop_
_atom_site_label
_atom_site_fract_x
_atom_site_fract_y
_atom_site_fract_z
Na1 0.0000 0.0000 0.0000
Sr1 0.5000 0.5000 0.5000
Zn1 0.0000 0.5000 0.5000
Co1 0.5000 0.5000 0.0000



Record 2
# PmHo12Sc3 | Alexandria | PBE-GGA | relaxed
# - Formation enthalpy at 0 K: 0.61 eV/f.u.
# - M_tot: 0.00 μB per formula unit
# - Calculated volume: 29.90 Å³ per atom
# - Total DFT energy (no corrections): -4.88 eV per atom
data_PmHo12Sc3
_chemical_formula_sum 'Pm1 Ho12 Sc3'
_cell_length_a 4.9318
_cell_length_b 4.9318
_cell_length_c 19.6688
_cell_angle_alpha 90.00
_cell_angle_beta 90.00
_cell_angle_gamma 90.00
_symmetry_space_group_name_H-M 'P 4/m m m'
_symmetry_Int_Tables_number 123
_symmetry_space_group_name_Hall '-P 4 2'
loop_
_atom_site_label
_atom_site_fract_x
_atom_site_fract_y
_atom_site_fract_z
Pm1 0.0000 0.0000 0.0000
Ho1 0.0000 0.5000 0.1300
Ho2 0.0000 0.5000 0.3767
Ho3 0.5000 0.5000 0.0000
Ho4 0.5000 0.5000 0.2541
Ho5 0.5000 0.5000 0.5000
Sc1 0.0000 0.0000 0.2531
Sc2 0.0000 0.0000 0.5000



Record 3
# KTb2PrTe4 | Alexandria | PBE-GGA | relaxed
# - Formation energy without anion corrections: -1359 meV per atom
# - M_tot: 0.00 μB per formula unit
# - Calculated volume: 32.75 Å³ per atom
# - Total DFT energy (no corrections): -4.82 eV per atom
data_KTb2PrTe4
_chemical_formula_sum 'K1 Tb2 Pr1 Te4'
_cell_length_a 7.8558
_cell_length_b 4.4370
_cell_length_c 7.9204
_cell_angle_alpha 90.00
_cell_angle_beta 108.35
_cell_angle_gamma 90.00
_symmetry_space_group_name_H-M 'P 1 2/m 1'
_symmetry_Int_Tables_number 10
loop_
_symmetry_equiv_pos_as_xyz
'x,y,z'
'-x,-y,-z'
'-x,y,-z'
'x,-y,z'
loop_
_atom_site_label
_atom_site_fract_x
_atom_site_fract_y
_atom_site_fract_z
K1 0.0000 0.0000 0.0000
Tb1 0.0000 0.5000 0.5000
Tb2 0.5000 0.0000 0.5000
Pr1 0.5000 0.5000 0.0000
Te1 0.2484 0.0000 0.7346
Te2 0.2629 0.5000 0.2714



Record 4
# GaSiAs2Br | Alexandria | PBE-GGA | relaxed
# - Formation energy without anion corrections: 408 meV per atom
# - Energy above the lowest structure with this stoichiometry: 0 meV/atom
# - M_tot: 0.00 μB per formula unit
# - Calculated volume: 26.31 Å³ per atom
# - Total DFT energy (no corrections): -3.48 eV per atom
data_GaSiAs2Br
_chemical_formula_sum 'Ga1 Si1 As2 Br1'
_cell_length_a 4.7079
_cell_length_b 4.7079
_cell_length_c 5.9350
_cell_angle_alpha 90.00
_cell_angle_beta 90.00
_cell_angle_gamma 90.00
_symmetry_space_group_name_H-M 'P 4/m m m'
_symmetry_Int_Tables_number 123
_symmetry_space_group_name_Hall '-P 4 2'
loop_
_atom_site_label
_atom_site_fract_x
_atom_site_fract_y
_atom_site_fract_z
Ga1 0.0000 0.0000 0.0000
Si1 0.5000 0.5000 0.5000
As1 0.0000 0.5000 0.5000
Br1 0.5000 0.5000 0.0000



Record 5
# FeP2Ir | Alexandria | PBE-GGA | relaxed
# - Energy above the lowest structure with this stoichiometry: 622 meV/atom
# - Formation enthalpy at 0 K: 1.00 eV/f.u.
# - M_tot: 1.80 μB per formula unit
# - Calculated volume: 13.53 Å³ per atom
# - Total DFT energy (no corrections): -6.79 eV per atom
data_FeP2Ir
_chemical_formula_sum 'Fe2 P4 Ir2'
_cell_length_a 2.7919
_cell_length_b 5.0996
_cell_length_c 7.6017
_cell_angle_alpha 90.00
_cell_angle_beta 90.00
_cell_angle_gamma 90.00
_symmetry_space_group_name_H-M 'C m m m'
_symmetry_Int_Tables_number 65
_symmetry_space_group_name_Hall '-C 2 2'
loop_
_atom_site_label
_atom_site_fract_x
_atom_site_fract_y
_atom_site_fract_z
Fe1 0.0000 0.0000 0.0000
P1 0.0000 0.5000 0.2350
Ir1 0.0000 0.0000 0.5000



Record 6
# BaInSe2 | Alexandria | PBE-GGA | relaxed
# - Formation energy without anion corrections: -1171 meV per atom
# - M_tot: 0.00 μB per formula unit
# - Calculated volume: 31.76 Å³ per atom
# - Total DFT energy (no corrections): -4.08 eV per atom
data_BaInSe2
_chemical_formula_sum 'Ba2 In2 Se4'
_cell_length_a 13.4489
_cell_length_b 4.2326
_cell_length_c 4.4631
_cell_angle_alpha 90.00
_cell_angle_beta 90.01
_cell_angle_gamma 90.00
_symmetry_space_group_name_H-M 'C 1 m 1'
_symmetry_Int_Tables_number 8
loop_
_symmetry_equiv_pos_as_xyz
'x,y,z'
'x,-y,z'
'x+1/2,y+1/2,z'
'x+1/2,-y+1/2,z'
loop_
_atom_site_label
_atom_site_fract_x
_atom_site_fract_y
_atom_site_fract_z
Ba1 0.0000 0.0000 0.0000
In1 0.2362 0.0000 0.5033
Se1 0.2027 0.5000 0.9980
Se2 0.4319 0.0000 0.5000



Record 7
# TbZrZn | Alexandria | PBE-GGA | relaxed
# - Energy above the lowest structure with this stoichiometry: 0 meV/atom
# - Formation enthalpy at 0 K: -0.57 eV/f.u.
# - M_tot: 0.00 μB per formula unit
# - Calculated volume: 22.95 Å³ per atom
# - Total DFT energy (no corrections): -5.01 eV per atom
data_TbZrZn
_chemical_formula_sum 'Tb4 Zr4 Zn4'
_cell_length_a 3.4114
_cell_length_b 15.9693
_cell_length_c 5.0541
_cell_angle_alpha 90.00
_cell_angle_beta 90.00
_cell_angle_gamma 90.00
_symmetry_space_group_name_H-M 'C m c m'
_symmetry_Int_Tables_number 63
_symmetry_space_group_name_Hall '-C 2c 2'
loop_
_atom_site_label
_atom_site_fract_x
_atom_site_fract_y
_atom_site_fract_z
Tb1 0.0000 0.0854 0.2500
Zr1 0.0000 0.2257 0.7500
Zn1 0.0000 0.4275 0.2500



Record 8
# YB3I | Alexandria | PBE-GGA | relaxed
# - Formation energy without anion corrections: 2183 meV per atom
# - Energy above the lowest structure with this stoichiometry: 268 meV/atom
# - M_tot: 0.00 μB per formula unit
# - Calculated volume: 24.78 Å³ per atom
# - Total DFT energy (no corrections): -3.43 eV per atom
data_YB3I
_chemical_formula_sum 'Y1 B3 I1'
_cell_length_a 4.9852
_cell_length_b 4.9852
_cell_length_c 4.9852
_cell_angle_alpha 90.00
_cell_angle_beta 90.00
_cell_angle_gamma 90.00
_symmetry_space_group_name_H-M 'P m -3 m'
_symmetry_Int_Tables_number 221
_symmetry_space_group_name_Hall '-P 4 2 3'
loop_
_atom_site_label
_atom_site_fract_x
_atom_site_fract_y
_atom_site_fract_z
Y1 0.0000 0.0000 0.0000
B1 0.0000 0.0000 0.5000
I1 0.5000 0.5000 0.5000